Entry 1:
## MnTlCo (GGA-PBE)

Data for a relaxed structure of MnTlCo.

* DOS(E_F): 2.06 states/eV per cell
* E above lowest polymorph: 0.1532 eV per atom
* formation enthalpy at 0 K: 502 meV per atom
* VASP energy: -17.14 eV/cell
* calculated volume: 16.0 A^3/atom
* size of the total moment: 1.60 μB/atom

Lattice parameters (Å, degrees): 4.3186 4.3186 2.9757 90.00 90.00 120.00
Space group P3m1 (No. 156)
One atom of each set of equivalent atoms:
Mn 0.0000 0.0000 0.0000 x1
Tl 0.3333 0.6667 0.4175 x1
Co 0.6667 0.3333 0.7861 x1

Entry 2:
## Mn2TlCo2 (GGA-PBE)

Data for a relaxed structure of Mn2TlCo2.

* DOS(E_F): 14.79 states/eV per cell
* formation enthalpy at 0 K: 366 meV per atom
* VASP energy: -66.18 eV/cell
* calculated volume: 14.4 A^3/atom
* size of the total moment: 1.72 μB/atom

Lattice parameters (Å, degrees): 6.963 6.963 2.962 90.00 90.00 90.00
Space group P4/mbm (No. 127)
One atom of each set of equivalent atoms:
Mn 0.149 0.351 0.000 x4
Tl 0.000 0.000 0.500 x2
Co 0.139 0.639 0.500 x4

> calculated volume of number 2 (Mn2TlCo2)?

14.4 A^3/atom